[1]
# Dy12Er7Al GGA-PBE relaxed
# Energy of formation from the pure elements (eV per atom): 0.190
# Uncorrected energy (eV per atom): -4.35
# Crystal system: trigonal
# DOS at the Fermi energy (states/eV/atom): 1.6475
# Calculated density (g/cm³): 8.34
data_Dy12Er7Al
_space_group_name_H-M_alt 'R -3'
_space_group_IT_number 148
_space_group_name_Hall '-R 3'
_cell_length_a 11.9048
_cell_length_b 11.9048
_cell_length_c 15.3261
_cell_angle_alpha 90.00
_cell_angle_beta 90.00
_cell_angle_gamma 120.00
loop_
_atom_site_label
_atom_site_type_symbol
_atom_site_fract_x
_atom_site_fract_y
_atom_site_fract_z
Dy1 Dy 0.0374 0.4584 0.2118
Dy2 Dy 0.0561 0.5853 0.5859
Er1 Er 0.0000 0.0000 0.0000
Er2 Er 0.0540 0.1875 0.3008
Al1 Al 0.0000 0.0000 0.5000

***

[2]
# HoLuZrIn GGA-PBE relaxed
# Energy of formation from the pure elements (eV per atom): -0.067
# Uncorrected energy (eV per atom): -5.16
# Crystal system: cubic
# DOS at the Fermi energy (states/eV/atom): 0.7244
# Calculated density (g/cm³): 8.69
data_HoLuZrIn
_space_group_name_H-M_alt 'F -4 3 m'
_space_group_IT_number 216
_space_group_name_Hall 'F -4 2 3'
_cell_length_a 7.4715
_cell_length_b 7.4715
_cell_length_c 7.4715
_cell_angle_alpha 90.00
_cell_angle_beta 90.00
_cell_angle_gamma 90.00
loop_
_atom_site_label
_atom_site_type_symbol
_atom_site_fract_x
_atom_site_fract_y
_atom_site_fract_z
Ho1 Ho 0.0000 0.0000 0.0000
Lu1 Lu 0.0000 0.0000 0.5000
Zr1 Zr 0.2500 0.2500 0.7500
In1 In 0.2500 0.2500 0.2500

***

[3]
# Pm5Pr2Sm4 GGA-PBE relaxed
# Energy of formation from the pure elements (eV per atom): 0.153
# ΔE to the lowest computed polymorph (eV per atom): 0.0202
# Uncorrected energy (eV per atom): -4.59
# Crystal system: monoclinic
# DOS at the Fermi energy (states/eV/atom): 1.4814
# Calculated density (g/cm³): 6.92
data_Pm5Pr2Sm4
_space_group_name_H-M_alt 'C 1 2/m 1'
_space_group_IT_number 12
_cell_length_a 12.4467
_cell_length_b 6.9539
_cell_length_c 10.8281
_cell_angle_alpha 90.00
_cell_angle_beta 124.58
_cell_angle_gamma 90.00
loop_
_space_group_symop_operation_xyz
'x,y,z'
'-x,-y,-z'
'-x,y,-z'
'x,-y,z'
'x+1/2,y+1/2,z'
'-x+1/2,-y+1/2,-z'
'-x+1/2,y+1/2,-z'
'x+1/2,-y+1/2,z'
loop_
_atom_site_label
_atom_site_type_symbol
_atom_site_fract_x
_atom_site_fract_y
_atom_site_fract_z
Pm1 Pm 0.0000 0.0000 0.0000
Pm2 Pm 0.1620 0.2706 0.6663
Pr1 Pr 0.0931 0.5000 0.3077
Sm1 Sm 0.0769 0.0000 0.3536
Sm2 Sm 0.2113 0.5000 0.0124

***

[4]
# Y2ErTmSc4 GGA-PBE relaxed
# Energy of formation from the pure elements (eV per atom): 0.058
# Uncorrected energy (eV per atom): -5.85
# Crystal system: tetragonal
# DOS at the Fermi energy (states/eV/atom): 1.8504
# Calculated density (g/cm³): 5.18
data_Y2ErTmSc4
_space_group_name_H-M_alt 'P 4/m m m'
_space_group_IT_number 123
_space_group_name_Hall '-P 4 2'
_cell_length_a 4.8604
_cell_length_b 4.8604
_cell_length_c 9.4072
_cell_angle_alpha 90.00
_cell_angle_beta 90.00
_cell_angle_gamma 90.00
loop_
_atom_site_label
_atom_site_type_symbol
_atom_site_fract_x
_atom_site_fract_y
_atom_site_fract_z
Y1 Y 0.0000 0.0000 0.0000
Y2 Y 0.5000 0.5000 0.5000
Er1 Er 0.0000 0.0000 0.5000
Tm1 Tm 0.5000 0.5000 0.0000
Sc1 Sc 0.0000 0.5000 0.2499

***

[5]
# BaSbTeS6 GGA-PBE relaxed
# Uncorrected energy (eV per atom): -4.14
# Crystal system: trigonal
# Raw formation energy (eV/atom): -0.372
# DOS at the Fermi energy (states/eV/atom): 0.5634
# Calculated density (g/cm³): 3.67
data_BaSbTeS6
_space_group_name_H-M_alt 'P 3 1 2'
_space_group_IT_number 149
_cell_length_a 6.5978
_cell_length_b 6.5978
_cell_length_c 6.9544
_cell_angle_alpha 90.00
_cell_angle_beta 90.00
_cell_angle_gamma 120.00
loop_
_space_group_symop_operation_xyz
'x,y,z'
'-y,x-y,z'
'-x+y,-x,z'
'-y,-x,-z'
'-x+y,y,-z'
'x,x-y,-z'
loop_
_atom_site_label
_atom_site_type_symbol
_atom_site_fract_x
_atom_site_fract_y
_atom_site_fract_z
Ba1 Ba 0.0000 0.0000 0.0000
Sb1 Sb 0.3333 0.6667 0.5000
Te1 Te 0.6667 0.3333 0.5000
S1 S 0.0074 0.3931 0.7226

***

[6]
# HfSiIrS2 GGA-PBE relaxed
# Uncorrected energy (eV per atom): -6.04
# Crystal system: tetragonal
# Raw formation energy (eV/atom): 0.461
# DOS at the Fermi energy (states/eV/atom): 0.7370
# Calculated density (g/cm³): 7.70
data_HfSiIrS2
_space_group_name_H-M_alt 'P 4/m m m'
_space_group_IT_number 123
_space_group_name_Hall '-P 4 2'
_cell_length_a 4.7130
_cell_length_b 4.7130
_cell_length_c 4.4958
_cell_angle_alpha 90.00
_cell_angle_beta 90.00
_cell_angle_gamma 90.00
loop_
_atom_site_label
_atom_site_type_symbol
_atom_site_fract_x
_atom_site_fract_y
_atom_site_fract_z
Hf1 Hf 0.0000 0.0000 0.0000
Si1 Si 0.5000 0.5000 0.0000
Ir1 Ir 0.5000 0.5000 0.5000
S1 S 0.0000 0.5000 0.5000

***

[7]
# BeCoTc2 GGA-PBE relaxed
# Energy of formation from the pure elements (eV per atom): 0.016
# ΔE to the lowest computed polymorph (eV per atom): 0.0777
# Uncorrected energy (eV per atom): -7.87
# Crystal system: tetragonal
# DOS at the Fermi energy (states/eV/atom): 1.2087
# Calculated density (g/cm³): 9.04
data_BeCoTc2
_space_group_name_H-M_alt 'I -4 m 2'
_space_group_IT_number 119
_space_group_name_Hall 'I -4 -2'
_cell_length_a 3.5182
_cell_length_b 3.5182
_cell_length_c 7.8330
_cell_angle_alpha 90.00
_cell_angle_beta 90.00
_cell_angle_gamma 90.00
loop_
_atom_site_label
_atom_site_type_symbol
_atom_site_fract_x
_atom_site_fract_y
_atom_site_fract_z
Be1 Be 0.0000 0.0000 0.0000
Co1 Co 0.0000 0.5000 0.7500
Tc1 Tc 0.0000 0.0000 0.5000
Tc2 Tc 0.0000 0.5000 0.2500

***

[8]
# CsHfP3 GGA-PBE relaxed
# Energy of formation from the pure elements (eV per atom): -0.115
# ΔE to the lowest computed polymorph (eV per atom): 0.0000
# Uncorrected energy (eV per atom): -5.52
# Crystal system: cubic
# DOS at the Fermi energy (states/eV/atom): 0.9716
# Calculated density (g/cm³): 4.98
data_CsHfP3
_space_group_name_H-M_alt 'P m -3 m'
_space_group_IT_number 221
_space_group_name_Hall '-P 4 2 3'
_cell_length_a 5.1281
_cell_length_b 5.1281
_cell_length_c 5.1281
_cell_angle_alpha 90.00
_cell_angle_beta 90.00
_cell_angle_gamma 90.00
loop_
_atom_site_label
_atom_site_type_symbol
_atom_site_fract_x
_atom_site_fract_y
_atom_site_fract_z
Cs1 Cs 0.0000 0.0000 0.0000
Hf1 Hf 0.5000 0.5000 0.5000
P1 P 0.0000 0.5000 0.5000

***

[9]
# Rb3Ce2HfS6 GGA-PBE relaxed
# Uncorrected energy (eV per atom): -5.75
# Crystal system: monoclinic
# Raw formation energy (eV/atom): -1.630
# DOS at the Fermi energy (states/eV/atom): 1.3348
# Calculated density (g/cm³): 4.54
data_Rb3Ce2HfS6
_space_group_name_H-M_alt 'C 1 2/m 1'
_space_group_IT_number 12
_cell_length_a 7.0536
_cell_length_b 12.2150
_cell_length_c 8.0587
_cell_angle_alpha 90.00
_cell_angle_beta 107.02
_cell_angle_gamma 90.00
loop_
_space_group_symop_operation_xyz
'x,y,z'
'-x,-y,-z'
'-x,y,-z'
'x,-y,z'
'x+1/2,y+1/2,z'
'-x+1/2,-y+1/2,-z'
'-x+1/2,y+1/2,-z'
'x+1/2,-y+1/2,z'
loop_
_atom_site_label
_atom_site_type_symbol
_atom_site_fract_x
_atom_site_fract_y
_atom_site_fract_z
Rb1 Rb 0.0000 0.0000 0.0000
Rb2 Rb 0.0000 0.3304 0.0000
Ce1 Ce 0.0000 0.1664 0.5000
Hf1 Hf 0.0000 0.5000 0.5000
S1 S 0.2182 0.3460 0.6923
S2 S 0.2430 0.5000 0.3067

***

[10]
# MnCo2P GGA-PBE relaxed
# Energy of formation from the pure elements (eV per atom): -0.083
# Uncorrected energy (eV per atom): -7.28
# Crystal system: orthorhombic
# DOS at the Fermi energy (states/eV/atom): 1.0300
# Calculated density (g/cm³): 7.47
data_MnCo2P
_space_group_name_H-M_alt 'P m m 2'
_space_group_IT_number 25
_cell_length_a 2.7250
_cell_length_b 3.4447
_cell_length_c 4.8250
_cell_angle_alpha 90.00
_cell_angle_beta 90.00
_cell_angle_gamma 90.00
loop_
_space_group_symop_operation_xyz
'x,y,z'
'-x,-y,z'
'-x,y,z'
'x,-y,z'
loop_
_atom_site_label
_atom_site_type_symbol
_atom_site_fract_x
_atom_site_fract_y
_atom_site_fract_z
Mn1 Mn 0.0000 0.0000 0.0000
Co1 Co 0.0000 0.0000 0.4887
Co2 Co 0.5000 0.5000 0.7648
P1 P 0.5000 0.5000 0.2793

***

[11]
# BaIrSeBr2 GGA-PBE relaxed
# ΔE to the lowest computed polymorph (eV per atom): 1.4019
# Uncorrected energy (eV per atom): -2.88
# Crystal system: tetragonal
# Raw formation energy (eV/atom): 0.646
# DOS at the Fermi energy (states/eV/atom): 3.8094
# Calculated density (g/cm³): 3.89
data_BaIrSeBr2
_space_group_name_H-M_alt 'P 4/m m m'
_space_group_IT_number 123
_space_group_name_Hall '-P 4 2'
_cell_length_a 6.1534
_cell_length_b 6.1534
_cell_length_c 6.4077
_cell_angle_alpha 90.00
_cell_angle_beta 90.00
_cell_angle_gamma 90.00
loop_
_atom_site_label
_atom_site_type_symbol
_atom_site_fract_x
_atom_site_fract_y
_atom_site_fract_z
Ba1 Ba 0.0000 0.0000 0.0000
Ir1 Ir 0.5000 0.5000 0.5000
Se1 Se 0.0000 0.0000 0.5000
Br1 Br 0.0000 0.5000 0.0000

***

[12]
# LaScBr2 GGA-PBE relaxed
# ΔE to the lowest computed polymorph (eV per atom): 0.0068
# Uncorrected energy (eV per atom): -4.75
# Crystal system: tetragonal
# Raw formation energy (eV/atom): -1.104
# DOS at the Fermi energy (states/eV/atom): 1.1701
# Calculated density (g/cm³): 5.18
data_LaScBr2
_space_group_name_H-M_alt 'P 4 m m'
_space_group_IT_number 99
_cell_length_a 3.8236
_cell_length_b 3.8236
_cell_length_c 7.5369
_cell_angle_alpha 90.00
_cell_angle_beta 90.00
_cell_angle_gamma 90.00
loop_
_space_group_symop_operation_xyz
'x,y,z'
'-y,x,z'
'-x,-y,z'
'y,-x,z'
'-x,y,z'
'y,x,z'
'x,-y,z'
'-y,-x,z'
loop_
_atom_site_label
_atom_site_type_symbol
_atom_site_fract_x
_atom_site_fract_y
_atom_site_fract_z
La1 La 0.0000 0.0000 0.0000
Sc1 Sc 0.5000 0.5000 0.3177
Br1 Br 0.0000 0.0000 0.4253
Br2 Br 0.5000 0.5000 0.7538

***

[13]
# NdAlGa2Pd5 GGA-PBE relaxed
# Energy of formation from the pure elements (eV per atom): -0.489
# Uncorrected energy (eV per atom): -4.99
# Crystal system: tetragonal
# DOS at the Fermi energy (states/eV/atom): 0.4686
# Calculated density (g/cm³): 8.48
data_NdAlGa2Pd5
_space_group_name_H-M_alt 'P 4/m m m'
_space_group_IT_number 123
_space_group_name_Hall '-P 4 2'
_cell_length_a 4.7448
_cell_length_b 4.7448
_cell_length_c 7.3277
_cell_angle_alpha 90.00
_cell_angle_beta 90.00
_cell_angle_gamma 90.00
loop_
_atom_site_label
_atom_site_type_symbol
_atom_site_fract_x
_atom_site_fract_y
_atom_site_fract_z
Nd1 Nd 0.0000 0.0000 0.0000
Al1 Al 0.0000 0.0000 0.5000
Ga1 Ga 0.5000 0.5000 0.3342
Pd1 Pd 0.0000 0.5000 0.2899
Pd2 Pd 0.5000 0.5000 0.0000

***

[14]
# Rb2BaCuSn GGA-PBE relaxed
# Energy of formation from the pure elements (eV per atom): 0.776
# Uncorrected energy (eV per atom): -1.62
# Crystal system: tetragonal
# DOS at the Fermi energy (states/eV/atom): 0.8738
# Calculated density (g/cm³): 2.90
data_Rb2BaCuSn
_space_group_name_H-M_alt 'P 4/m m m'
_space_group_IT_number 123
_space_group_name_Hall '-P 4 2'
_cell_length_a 7.2666
_cell_length_b 7.2666
_cell_length_c 5.3275
_cell_angle_alpha 90.00
_cell_angle_beta 90.00
_cell_angle_gamma 90.00
loop_
_atom_site_label
_atom_site_type_symbol
_atom_site_fract_x
_atom_site_fract_y
_atom_site_fract_z
Rb1 Rb 0.0000 0.5000 0.0000
Ba1 Ba 0.0000 0.0000 0.0000
Cu1 Cu 0.0000 0.0000 0.5000
Sn1 Sn 0.5000 0.5000 0.5000

***

[15]
# SmDyTm2As4 GGA-PBE relaxed
# Energy of formation from the pure elements (eV per atom): -1.514
# Uncorrected energy (eV per atom): -6.12
# Crystal system: monoclinic
# DOS at the Fermi energy (states/eV/atom): 0.1226
# Calculated density (g/cm³): 8.00
data_SmDyTm2As4
_space_group_name_H-M_alt 'P 1 2/m 1'
_space_group_IT_number 10
_cell_length_a 7.1254
_cell_length_b 4.1180
_cell_length_c 7.1287
_cell_angle_alpha 90.00
_cell_angle_beta 109.48
_cell_angle_gamma 90.00
loop_
_space_group_symop_operation_xyz
'x,y,z'
'-x,-y,-z'
'-x,y,-z'
'x,-y,z'
loop_
_atom_site_label
_atom_site_type_symbol
_atom_site_fract_x
_atom_site_fract_y
_atom_site_fract_z
Sm1 Sm 0.0000 0.0000 0.0000
Dy1 Dy 0.0000 0.5000 0.5000
Tm1 Tm 0.5000 0.0000 0.5000
Tm2 Tm 0.5000 0.5000 0.0000
As1 As 0.2556 0.0000 0.7492
As2 As 0.2575 0.5000 0.2552

***

[16]
# CsY2Au GGA-PBE relaxed
# Energy of formation from the pure elements (eV per atom): 0.217
# Uncorrected energy (eV per atom): -4.05
# Crystal system: cubic
# DOS at the Fermi energy (states/eV/atom): 0.2223
# Calculated density (g/cm³): 7.50
data_CsY2Au
_space_group_name_H-M_alt 'F m -3 m'
_space_group_IT_number 225
_space_group_name_Hall '-F 4 2 3'
_cell_length_a 7.6610
_cell_length_b 7.6610
_cell_length_c 7.6610
_cell_angle_alpha 90.00
_cell_angle_beta 90.00
_cell_angle_gamma 90.00
loop_
_atom_site_label
_atom_site_type_symbol
_atom_site_fract_x
_atom_site_fract_y
_atom_site_fract_z
Cs1 Cs 0.0000 0.0000 0.0000
Y1 Y 0.2500 0.2500 0.2500
Au1 Au 0.0000 0.0000 0.5000

***

[17]
# Na2NiSeN GGA-PBE relaxed
# Uncorrected energy (eV per atom): -3.20
# Crystal system: tetragonal
# Raw formation energy (eV/atom): 0.843
# DOS at the Fermi energy (states/eV/atom): 2.4375
# Calculated density (g/cm³): 2.84
data_Na2NiSeN
_space_group_name_H-M_alt 'P 4/m m m'
_space_group_IT_number 123
_space_group_name_Hall '-P 4 2'
_cell_length_a 5.2534
_cell_length_b 5.2534
_cell_length_c 4.1878
_cell_angle_alpha 90.00
_cell_angle_beta 90.00
_cell_angle_gamma 90.00
loop_
_atom_site_label
_atom_site_type_symbol
_atom_site_fract_x
_atom_site_fract_y
_atom_site_fract_z
Na1 Na 0.0000 0.5000 0.0000
Ni1 Ni 0.0000 0.0000 0.0000
Se1 Se 0.0000 0.0000 0.5000
N1 N 0.5000 0.5000 0.5000